Pm5TlAu4: optimized geometry, PBE.

```
data_Pm5TlAu4
_symmetry_space_group_name_H-M 'P 4/m m m'
_symmetry_Int_Tables_number 123
_symmetry_space_group_name_Hall '-P 4 2'
_cell_length_a 3.695
_cell_length_b 3.695
_cell_length_c 19.011
_cell_angle_alpha 90.00
_cell_angle_beta 90.00
_cell_angle_gamma 90.00
loop_
_atom_site_label
_atom_site_fract_x
_atom_site_fract_y
_atom_site_fract_z
Pm1 0.000 0.000 0.000
Pm2 0.000 0.000 0.194
Pm3 0.000 0.000 0.388
Tl1 0.500 0.500 0.500
Au1 0.500 0.500 0.097
Au2 0.500 0.500 0.292
```

## Properties
ΔH_f (0 K) in kJ/mol of atoms: -67.7
Electronic total energy in eV/atom: -4.62